Entry 1:
! GGA-PBE NaB2S4, optimized geometry; values from VASP
&SYSTEM
  ibrav = 0, nat = 14, ntyp = 3
/
ATOMIC_SPECIES
Na 22.99 Na.upf
B 10.81 B.upf
S 32.06 S.upf
CELL_PARAMETERS angstrom
6.064 -2.852 0.603
-2.371 8.840 -0.500
-1.270 -3.894 8.784
ATOMIC_POSITIONS angstrom
Na -1.541 2.602 4.059
Na 0.641 1.369 0.110
B 1.948 -1.386 6.777
B 1.398 4.977 2.135
B 2.583 0.557 2.384
B -1.084 0.040 6.477
S 4.517 -2.372 2.513
S 0.649 3.486 2.258
S 2.600 0.153 6.824
S 4.284 -4.330 7.028
S 1.583 -0.703 1.923
S 1.297 -2.924 6.729
S -0.388 1.559 6.528
S 3.583 1.816 2.846
! * energy relative to the elements, uncorrected: -0.2852 eV/atom
! * SG: P-1 (2)

***

Entry 2:
! GGA-PBE SrCdIn4, optimized geometry; values from VASP
&SYSTEM
  ibrav = 0, nat = 6, ntyp = 3
/
ATOMIC_SPECIES
Cd 112.41 Cd.upf
In 114.82 In.upf
Sr 87.62 Sr.upf
CELL_PARAMETERS angstrom
6.282 0.000 0.000
3.141 5.440 0.000
3.141 1.813 5.129
ATOMIC_POSITIONS angstrom
Cd 0.000 0.000 0.000
In 4.708 4.536 3.207
In 7.856 4.536 3.207
In 6.282 1.809 3.207
In 6.282 3.627 0.637
Sr 3.141 1.813 1.282
! * formation energy from the elements: -0.125 eV per atom
! * SG: F-43m (216)
! * E above lowest polymorph: 9.8 kJ per mole of atoms